VASP calculation (PBE) on Si2HOs after structural relaxation.

SG	No. 122
magnetization	0.0	Bohr magnetons per cell
excess energy over the best structure of this formula in the dataset	44.1	meV per atom

The structure in extended XYZ format:
```
8
Lattice="-2.188 2.188 5.353 2.188 -2.188 5.353 2.188 2.188 -5.353" Properties=species:S:1:pos:R:3 pbc="T T T"
Si 3.282 0.592 -1.338
Si 0.592 1.094 1.338
Si -1.094 1.596 4.015
Si 1.596 1.094 6.692
H 0.000 0.000 0.000
H 0.000 2.188 2.677
Os 2.188 0.000 2.677
Os 0.000 0.000 5.353
```

VASP calculation (PBE) on LiCr2Co2 after structural relaxation.

SG	No. 127
magnetization	0.0	Bohr magnetons per cell
formation energy from the elements	0.20	eV/atom

The structure in extended XYZ format:
```
10
Lattice="6.920 0.000 0.000 0.000 6.920 0.000 0.000 0.000 2.487" Properties=species:S:1:pos:R:3 pbc="T T T"
Li 0.000 0.000 0.000
Li 3.460 3.460 0.000
Cr 1.130 2.331 1.243
Cr 2.331 5.791 1.243
Cr 4.590 1.130 1.243
Cr 5.791 4.590 1.243
Co 0.895 4.355 0.000
Co 2.566 0.895 0.000
Co 4.355 6.026 0.000
Co 6.026 2.566 0.000
```

VASP calculation (PBE) on AcPm2Th after structural relaxation.

SG	No. 123
magnetization	0.0	Bohr magnetons per cell
excess energy over the best structure of this formula in the dataset	0.0	meV per atom
formation energy from the elements	0.04	eV/atom

The structure in extended XYZ format:
```
4
Lattice="3.698 0.000 0.000 0.000 3.698 0.000 0.000 0.000 10.628" Properties=species:S:1:pos:R:3 pbc="T T T"
Ac 0.000 0.000 0.000
Pm 1.849 1.849 2.898
Pm 1.849 1.849 7.730
Th 0.000 0.000 5.314
```

VASP calculation (PBE) on Ba2TeOs after structural relaxation.

SG	No. 99
energy relative to the elements, uncorrected	0.284	eV/atom
magnetization	0.0	Bohr magnetons per cell

The structure in extended XYZ format:
```
4
Lattice="3.871 0.000 0.000 0.000 3.871 0.000 0.000 0.000 9.549" Properties=species:S:1:pos:R:3 pbc="T T T"
Ba 0.000 0.000 0.000
Ba 1.936 1.936 4.028
Te 1.936 1.936 7.230
Os 0.000 0.000 6.533
```

VASP calculation (PBE) on Cs2RbGe2 after structural relaxation.

SG	No. 15
magnetization	0.0	Bohr magnetons per cell
formation energy from the elements	-0.05	eV/atom

The structure in extended XYZ format:
```
10
Lattice="6.611 -3.458 0.000 6.611 3.458 0.000 -2.698 0.000 10.492" Properties=species:S:1:pos:R:3 pbc="T T T"
Cs 2.344 2.052 9.089
Cs 6.831 2.052 6.648
Cs 3.693 -2.052 3.843
Cs 8.180 -2.052 1.403
Rb 5.937 1.110 2.623
Rb 4.587 -1.110 7.869
Ge 3.074 1.459 5.422
Ge 6.101 1.459 10.316
Ge 4.423 -1.459 0.176
Ge 7.450 -1.459 5.070
```

VASP calculation (PBE) on ZnSi2Sb2 after structural relaxation.

SG	No. 139
energy relative to the elements, uncorrected	0.319	eV/atom
magnetization	0.0	Bohr magnetons per cell
excess energy over the best structure of this formula in the dataset	0.0	meV per atom

The structure in extended XYZ format:
```
5
Lattice="-1.769 1.769 8.424 1.769 -1.769 8.424 1.769 1.769 -8.424" Properties=species:S:1:pos:R:3 pbc="T T T"
Zn 0.000 0.000 0.000
Si 1.769 0.000 4.212
Si 0.000 1.769 4.212
Sb 0.000 0.000 6.722
Sb 0.000 0.000 10.126
```

Look up the magnetization of the fifth one. 0.0 Bohr magnetons per cell

What did the fifth record say?
VASP calculation (PBE) on Cs2RbGe2 after structural relaxation.

SG	No. 15
magnetization	0.0	Bohr magnetons per cell
formation energy from the elements	-0.05	eV/atom

The structure in extended XYZ format:
```
10
Lattice="6.611 -3.458 0.000 6.611 3.458 0.000 -2.698 0.000 10.492" Properties=species:S:1:pos:R:3 pbc="T T T"
Cs 2.344 2.052 9.089
Cs 6.831 2.052 6.648
Cs 3.693 -2.052 3.843
Cs 8.180 -2.052 1.403
Rb 5.937 1.110 2.623
Rb 4.587 -1.110 7.869
Ge 3.074 1.459 5.422
Ge 6.101 1.459 10.316
Ge 4.423 -1.459 0.176
Ge 7.450 -1.459 5.070
```

Please write out number 6 again, unchanged.
VASP calculation (PBE) on ZnSi2Sb2 after structural relaxation.

SG	No. 139
energy relative to the elements, uncorrected	0.319	eV/atom
magnetization	0.0	Bohr magnetons per cell
excess energy over the best structure of this formula in the dataset	0.0	meV per atom

The structure in extended XYZ format:
```
5
Lattice="-1.769 1.769 8.424 1.769 -1.769 8.424 1.769 1.769 -8.424" Properties=species:S:1:pos:R:3 pbc="T T T"
Zn 0.000 0.000 0.000
Si 1.769 0.000 4.212
Si 0.000 1.769 4.212
Sb 0.000 0.000 6.722
Sb 0.000 0.000 10.126
```